1.
Density functional theory data (PBE-GGA) for a geometry-optimized SrGeC structure.

POSCAR file:
```
SrGeC
1.0
-1.4195 -2.5872 -3.8259
0.4270 -3.6415 2.3040
-5.8717 1.3670 3.2487
Sr Ge C
2 2 2
Direct
0.7491 0.5000 0.7362 Sr
0.9409 0.0000 0.2477 Sr
0.4012 0.5000 0.0854 Ge
0.2558 0.0000 0.8533 Ge
0.5290 0.0000 0.4650 C
0.4051 0.0000 0.6107 C
```

Summary:
Fermi-level density of states, states/eV per atom: 0.0468
E, eV/cell: -31.4
Space-group type: Pm, No. 6
Density, g/cm3: 4.1


2.
Density functional theory data (PBE-GGA) for a geometry-optimized SrGeC structure.

POSCAR file:
```
SrGeC
1.0
-3.2868 -0.3673 2.4758
3.8855 -0.4951 1.6379
-0.7815 8.9828 0.2950
Sr Ge C
2 2 2
Direct
0.0717 0.1434 0.7929 Sr
0.9283 0.8566 0.2071 Sr
0.3201 0.6402 0.4449 Ge
0.6799 0.3598 0.5551 Ge
0.5761 0.1523 0.0475 C
0.4239 0.8477 0.9525 C
```

Summary:
Fermi-level density of states, states/eV per atom: 0.1691
E, eV/cell: -32.4
Space-group type: C2/m, No. 12
Density, g/cm3: 4.2


3.
Density functional theory data (PBE-GGA) for a geometry-optimized SrTc2Ge2C structure.

POSCAR file:
```
SrTc2Ge2C
1.0
4.1989 0.0000 0.0000
0.0000 4.1989 0.0000
0.0000 0.0000 5.7049
Sr Tc Ge C
1 2 2 1
Direct
0.0000 0.0000 0.5000 Sr
0.5000 0.0000 0.0000 Tc
0.0000 0.5000 0.0000 Tc
0.5000 0.5000 0.7286 Ge
0.5000 0.5000 0.2714 Ge
0.0000 0.0000 0.0000 C
```

Summary:
Fermi-level density of states, states/eV per atom: 0.5268
E, eV/cell: -42.4
Space-group type: P4/mmm, No. 123
Density, g/cm3: 7.3


4.
Density functional theory data (PBE-GGA) for a geometry-optimized SrGeTeC2 structure.

POSCAR file:
```
SrGeTeC2
1.0
-2.8555 -1.7732 -2.6234
2.1629 -5.9614 1.6753
-2.8372 -0.1357 3.1800
Sr Ge Te C
1 1 1 2
Direct
0.0000 0.5000 0.0000 Sr
0.0000 0.0000 0.0000 Ge
0.5000 0.5000 0.5000 Te
0.0000 0.0000 0.5000 C
0.5000 0.0000 0.0000 C
```

Summary:
Fermi-level density of states, states/eV per atom: 0.4130
Space-group type: P4/mmm, No. 123
Uncorrected formation energy, eV per formula unit: 7.67
Density, g/cm3: 4.3


5.
Density functional theory data (PBE-GGA) for a geometry-optimized Ta2GeC structure.

POSCAR file:
```
Ta2GeC
1.0
-1.4515 -1.7803 -2.2180
0.1691 -1.0319 3.0160
-5.3884 4.2948 0.0790
Ta Ge C
2 1 1
Direct
0.2747 0.0494 0.3235 Ta
0.7253 0.9506 0.6765 Ta
0.5000 0.5000 0.0000 Ge
0.0000 0.5000 0.5000 C
```

Summary:
Fermi-level density of states, states/eV per atom: 0.6116
E, eV/cell: -39.0
Space-group type: R-3m, No. 166
Density, g/cm3: 12.7


6.
Density functional theory data (PBE-GGA) for a geometry-optimized Ta4Ge2C structure.

POSCAR file:
```
Ta4Ge2C
1.0
3.2472 0.0000 0.0000
0.0000 6.9561 0.0000
0.0000 0.0000 9.8655
Ta Ge C
8 4 2
Direct
0.0000 0.6343 0.8002 Ta
0.0000 0.3657 0.1998 Ta
0.0000 0.1343 0.6998 Ta
0.0000 0.8657 0.3002 Ta
0.5000 0.8138 0.5750 Ta
0.5000 0.1862 0.4250 Ta
0.5000 0.6862 0.0750 Ta
0.5000 0.3138 0.9250 Ta
0.5000 0.9297 0.8598 Ge
0.5000 0.0703 0.1402 Ge
0.5000 0.4297 0.6402 Ge
0.5000 0.5703 0.3598 Ge
0.0000 0.0000 0.5000 C
0.0000 0.5000 0.0000 C
```

Summary:
Fermi-level density of states, states/eV per atom: 0.3792
E, eV/cell: -137.4
Space-group type: Pbam, No. 55
Density, g/cm3: 13.1


7.
Density functional theory data (PBE-GGA) for a geometry-optimized Ta2GeC structure.

POSCAR file:
```
Ta2GeC
1.0
0.0000 3.0470 3.0470
3.0470 0.0000 3.0470
3.0470 3.0470 0.0000
Ge C Ta
1 1 2
Direct
0.5000 0.5000 0.5000 Ge
0.0000 0.0000 0.0000 C
0.2500 0.2500 0.2500 Ta
0.7500 0.7500 0.7500 Ta
```

Summary:
Fermi-level density of states, states/eV per atom: 0.8600
E, eV/cell: -34.9
Space-group type: Fm-3m, No. 225
Density, g/cm3: 13.1


8.
Density functional theory data (PBE-GGA) for a geometry-optimized Ta4Ge2C structure.

POSCAR file:
```
Ta4Ge2C
1.0
-4.1005 0.2399 0.6531
0.5492 -1.2805 3.9188
-1.0754 5.9552 4.3038
Ge C Ta
2 1 4
Direct
0.6447 0.6447 0.7106 Ge
0.3553 0.3553 0.2894 Ge
0.0000 0.0000 0.0000 C
0.8383 0.8383 0.3235 Ta
0.1617 0.1617 0.6765 Ta
0.0000 0.5000 0.0000 Ta
0.5000 0.0000 0.0000 Ta
```

Summary:
Fermi-level density of states, states/eV per atom: 1.0117
E, eV/cell: -65.8
Space-group type: I4/mmm, No. 139
Density, g/cm3: 12.4


9.
Density functional theory data (PBE-GGA) for a geometry-optimized TaGe2C2 structure.

POSCAR file:
```
TaGe2C2
1.0
-5.9129 0.6411 -2.2980
1.5693 -3.5805 -5.0370
-0.9302 -2.7109 1.6372
Ge C Ta
4 4 2
Direct
0.1335 0.6335 0.5000 Ge
0.6335 0.8665 0.5000 Ge
0.8665 0.3665 0.5000 Ge
0.3665 0.1335 0.5000 Ge
0.2499 0.7499 0.0000 C
0.7499 0.7501 0.0000 C
0.7501 0.2501 0.0000 C
0.2501 0.2499 0.0000 C
0.0000 0.0000 0.0000 Ta
0.5000 0.5000 0.0000 Ta
```

Summary:
Fermi-level density of states, states/eV per atom: 0.2048
E, eV/cell: -72.3
Space-group type: P4/mbm, No. 127
Density, g/cm3: 8.7


10.
Density functional theory data (PBE-GGA) for a geometry-optimized Ta2GeC structure.

POSCAR file:
```
Ta2GeC
1.0
-0.2593 2.1368 2.3990
-2.8554 0.5039 1.4077
0.2381 -3.7205 5.5049
Ta Ge C
2 1 1
Direct
0.0618 0.0618 0.8146 Ta
0.2711 0.2711 0.1867 Ta
0.4994 0.4994 0.5018 Ge
0.6677 0.6677 0.9968 C
```

Summary:
Fermi-level density of states, states/eV per atom: 0.3975
E, eV/cell: -39.4
Space-group type: R3m, No. 160
Density, g/cm3: 12.9


11.
Density functional theory data (PBE-GGA) for a geometry-optimized TaGe3C structure.

POSCAR file:
```
TaGe3C
1.0
5.0204 0.0000 0.0000
0.0000 5.0204 0.0000
0.0000 0.0000 5.0204
Ge C Ta
3 1 1
Direct
0.0000 0.5000 0.0000 Ge
0.0000 0.0000 0.5000 Ge
0.5000 0.0000 0.0000 Ge
0.5000 0.5000 0.5000 C
0.0000 0.0000 0.0000 Ta
```

Summary:
Fermi-level density of states, states/eV per atom: 1.3079
E, eV/cell: -26.1
Space-group type: Pm-3m, No. 221
Density, g/cm3: 5.4


12.
Density functional theory data (PBE-GGA) for a geometry-optimized Ta2GeC structure.

POSCAR file:
```
Ta2GeC
1.0
-2.0476 -4.3743 2.2296
2.8105 0.9364 4.4184
-3.6030 1.1302 5.2545
Ge C Ta
2 2 4
Direct
0.0000 0.0000 0.0000 Ge
0.7500 0.2500 0.5000 Ge
0.5000 0.5000 0.0000 C
0.2500 0.7500 0.5000 C
0.5423 0.1250 0.2500 Ta
0.2077 0.6250 0.2500 Ta
0.3750 0.4577 0.7500 Ta
0.8750 0.7923 0.7500 Ta
```

Summary:
Fermi-level density of states, states/eV per atom: 0.5580
E, eV/cell: -71.9
Space-group type: I-42d, No. 122
Density, g/cm3: 10.0


13.
Density functional theory data (PBE-GGA) for a geometry-optimized TaGeC3 structure.

POSCAR file:
```
TaGeC3
1.0
-3.7470 0.0813 1.9179
-0.8471 -3.8447 -1.4919
1.7226 -1.7137 3.4381
Ge C Ta
1 3 1
Direct
0.5000 0.5000 0.5000 Ge
0.0000 0.5000 0.0000 C
0.0000 0.0000 0.5000 C
0.5000 0.0000 0.0000 C
0.0000 0.0000 0.0000 Ta
```

Summary:
Fermi-level density of states, states/eV per atom: 0.7482
E, eV/cell: -34.8
Space-group type: Pm-3m, No. 221
Density, g/cm3: 6.4